1.
Computed, not measured: Zr3Tc after structural relaxation at the PBE level of DFT.

Space-group type = Cmcm
Uncorrected energy = -0.671 Ry per atom

POSCAR file:
```
Zr3Tc
1.0
3.5558 -4.9197 0.0000
3.5558 4.9197 0.0000
0.0000 0.0000 4.6056
Zr Tc
6 2
Direct
0.1069 0.8931 0.7500
0.1527 0.4031 0.7500
0.4031 0.1527 0.2500
0.5969 0.8473 0.7500
0.8473 0.5969 0.2500
0.8931 0.1069 0.2500
0.3739 0.6261 0.2500
0.6261 0.3739 0.7500
```

2.
Computed, not measured: Zr4Tc3 after structural relaxation at the PBE level of DFT.

Space-group type = P2_1/m
Uncorrected energy = -0.690 Ry per atom

POSCAR file:
```
Zr4Tc3
1.0
7.1552 0.0000 0.0000
0.0000 4.8153 0.0000
-2.8210 0.0000 7.5312
Zr Tc
8 6
Direct
0.0898 0.2500 0.0957
0.0984 0.7500 0.6292
0.2007 0.7500 0.3031
0.3648 0.2500 0.5474
0.6352 0.7500 0.4526
0.7993 0.2500 0.6969
0.9016 0.2500 0.3708
0.9102 0.7500 0.9043
0.2311 0.2500 0.8321
0.3741 0.7500 0.0364
0.4989 0.7500 0.7626
0.5011 0.2500 0.2374
0.6259 0.2500 0.9636
0.7689 0.7500 0.1679
```

3.
Computed, not measured: Zr5Tc after structural relaxation at the PBE level of DFT.

Space-group type = P-62m
Uncorrected energy = -0.642 Ry per atom

POSCAR file:
```
Zr5Tc
1.0
5.3446 0.0000 0.0000
-2.6723 4.6286 0.0000
0.0000 0.0000 5.1420
Zr Tc
5 1
Direct
0.0000 0.3162 0.0000
0.3162 0.0000 0.0000
0.3333 0.6667 0.5000
0.6667 0.3333 0.5000
0.6838 0.6838 0.0000
0.0000 0.0000 0.5000
```